## RbCaAs (PBE-GGA)

Data for a relaxed RbCaAs crystal.

```
3
Lattice="-3.8323 3.2449 2.5479 0.4779 -2.6786 4.1300 2.8718 3.9608 -0.7247" Properties=species:S:1:pos:R:3 pbc="T T T"
As -0.5624 0.4762 0.3739
Ca 1.4092 2.3104 1.3354
Rb -1.3294 1.7405 4.2439
```

## Properties
- energy of formation from the pure elements (eV/atom) = -0.614

## Rb2CaAsSe4 (PBE-GGA)

Data for a relaxed Rb2CaAsSe4 crystal.

```
16
Lattice="8.8624 -0.0244 -0.4846 -0.0306 8.8624 -0.4846 -4.6973 -4.7005 6.7387" Properties=species:S:1:pos:R:3 pbc="T T T"
Rb 4.4312 -0.0122 -0.2423
Rb 2.0826 -2.3624 3.1270
Rb -2.3486 -2.3502 3.3693
Rb 4.4159 4.4190 -0.4846
Ca -0.0153 4.4312 -0.2423
Ca 6.4985 2.0566 2.6424
As 2.0673 2.0688 2.8848
As 4.1652 -4.7249 6.2541
Se -2.8980 2.0218 6.0364
Se 4.2086 0.2405 3.1024
Se -0.0740 3.8970 2.6671
Se 7.0327 2.1157 -0.2669
Se 2.2709 2.0750 5.6595
Se 4.1285 3.9339 2.9948
Se 0.0061 0.2037 2.7747
Se 1.8636 2.0625 0.1101
```

## Properties
- E_form (uncorrected) (eV per atom) = -0.85

## RbCaAs2Se (PBE-GGA)

Data for a relaxed RbCaAs2Se crystal.

```
5
Lattice="-2.7741 2.3634 -4.1998 -2.0736 -4.9598 -1.4214 -4.3627 0.8595 3.3654" Properties=species:S:1:pos:R:3 pbc="T T T"
As -1.0368 -2.4799 -0.7107
As -1.3871 1.1817 -2.0999
Ca 0.0000 0.0000 0.0000
Se -2.1814 0.4297 1.6827
Rb -4.6052 -0.8685 -1.1279
```

## Properties
- energy above the lowest structure with this stoichiometry (eV per atom) = 0.000
- E_form (uncorrected) (eV per atom) = -0.07

## RbCaAs2Se (PBE-GGA)

Data for a relaxed RbCaAs2Se crystal.

```
5
Lattice="5.5172 0.0000 0.0000 0.0000 5.5172 0.0000 0.0000 0.0000 5.7836" Properties=species:S:1:pos:R:3 pbc="T T T"
As 0.0000 2.7586 0.0000
As 2.7586 0.0000 0.0000
Ca 2.7586 2.7586 2.8918
Se 0.0000 0.0000 2.8918
Rb 0.0000 0.0000 0.0000
```

## Properties
- energy above the lowest structure with this stoichiometry (eV per atom) = 0.799
- E_form (uncorrected) (eV per atom) = 0.72

## RbCaTe2As (PBE-GGA)

Data for a relaxed RbCaTe2As crystal.

```
5
Lattice="5.8128 0.0000 0.0000 0.0000 5.6000 0.0000 0.0000 0.0000 5.8128" Properties=species:S:1:pos:R:3 pbc="T T T"
As 0.0000 0.0000 0.0000
Te 0.0000 0.0000 2.9064
Te 2.9064 0.0000 0.0000
Ca 2.9064 2.8000 2.9064
Rb 0.0000 2.8000 0.0000
```

## Properties
- E_form (uncorrected) (eV per atom) = -0.14

## RbCa2TeAs (PBE-GGA)

Data for a relaxed RbCa2TeAs crystal.

```
5
Lattice="6.2630 0.0000 0.0000 0.0000 5.8446 0.0000 0.0000 0.0000 6.2630" Properties=species:S:1:pos:R:3 pbc="T T T"
As 3.1315 2.9223 3.1315
Te 0.0000 2.9223 0.0000
Ca 0.0000 0.0000 3.1315
Ca 3.1315 0.0000 0.0000
Rb 0.0000 0.0000 0.0000
```

## Properties
- E_form (uncorrected) (eV per atom) = 0.86

## Ca2ReAs (PBE-GGA)

Data for a relaxed Ca2ReAs crystal.

```
4
Lattice="-2.2290 4.6350 1.4123 -3.9457 -0.9613 3.4573 5.0894 -1.5931 -0.0801" Properties=species:S:1:pos:R:3 pbc="T T T"
Re -0.1135 2.4394 1.8835
As -0.9719 -0.3588 2.9060
Ca -6.1747 3.6736 4.8695
Ca -3.0875 1.8369 2.4349
```

## Properties
- energy of formation from the pure elements (eV/atom) = 0.337

## Ca2ReAs (PBE-GGA)

Data for a relaxed Ca2ReAs crystal.

```
4
Lattice="4.1638 0.0000 0.0000 0.0000 4.4550 0.0019 0.0000 2.2229 5.4006" Properties=species:S:1:pos:R:3 pbc="T T T"
Re 0.0000 4.1744 2.7805
As 2.0819 4.1730 3.9946
Ca 0.0000 6.3990 4.9293
Ca 2.0819 1.9482 1.8019
```

## Properties
- energy of formation from the pure elements (eV/atom) = -0.068